1.
Entry from the Alexandria database: a relaxed Pr2DyY3Se6 crystal (PBE-GGA).

The structure belongs to space group C2/m (No. 12); the cell edges are 18.089, 4.117 and 8.357 Å and the angles 90.00°, 103.74° and 90.00°. Symmetry generates all atoms from Pr at (0.169, 0.000, 0.336), Dy at (0.000, 0.500, 0.000), Y at (0.000, 0.500, 0.500), Y at (0.171, 0.000, 0.834), Se at (0.004, 0.000, 0.754), Se at (0.162, 0.500, 0.592) and Se at (0.164, 0.500, 0.072).

---

2.
Entry from the Alexandria database: a relaxed Pr4Dy3YSe8 crystal (PBE-GGA).

The structure belongs to space group R-3m (No. 166, hexagonal axes); the cell edges are 8.2444, 8.2444 and 20.9553 Å and the angles 90.00°, 90.00° and 120.00°. Symmetry generates all atoms from Pr at (0.0000, 0.0000, 0.0000), Pr at (0.0000, 0.5000, 0.0000), Dy at (0.0000, 0.5000, 0.5000), Y at (0.0000, 0.0000, 0.5000), Se at (0.0000, 0.0000, 0.2439) and Se at (0.0006, 0.5003, 0.7560).

---

| no. | spin magnetization (μB per formula unit) | ΔE_f (raw) (meV per atom) |
| --- | --- | --- |
| 1 | 0.00 | -1788.8 |
| 2 | 0.00 | -1802.1 |